The following is a DFT calculation (GGA-PBE) of a geometry-optimized LiZrRe2 structure.

Results
SG: R-3m, No. 166
Density (kg/m³): 11860
Total moment (μB/cell): 0.001
DOS(E_F) (states/eV per atom): 0.84
Crystal system: trigonal
Energy above the lowest structure with this stoichiometry (meV/atom): 303

Cell: 9.988 9.988 9.988 Å, 15.99 15.99 15.99°
Fractional coordinates of all 4 atoms:
Li 0.000 0.000 0.000
Zr 0.500 0.500 0.500
Re 0.254 0.254 0.254
Re 0.746 0.746 0.746

***

The following is a DFT calculation (GGA-PBE) of a geometry-optimized AcSm5S6 structure.

Results
SG: C2/m, No. 12
Density (kg/m³): 6846
Total moment (μB/cell): 0.000
DOS(E_F) (states/eV per atom): 0.39
Raw formation energy (eV/atom): -2.01
Crystal system: monoclinic

Cell: 7.044 7.044 7.032 Å, 99.70 99.70 120.12°
Fractional coordinates of all 12 atoms:
Ac 0.000 0.000 0.000
Sm 0.164 0.836 0.500
Sm 0.333 0.667 0.000
Sm 0.500 0.500 0.500
Sm 0.667 0.333 0.000
Sm 0.836 0.164 0.500
S 0.086 0.430 0.258
S 0.259 0.259 0.746
S 0.430 0.086 0.258
S 0.570 0.914 0.742
S 0.741 0.741 0.254
S 0.914 0.570 0.742

***

The following is a DFT calculation (GGA-PBE) of a geometry-optimized ZrCuGeAs structure.

Results
SG: P4/nmm, No. 129
Density (kg/m³): 7396
VASP energy (eV/atom): -6.073
Total moment (μB/cell): 0.000
DOS(E_F) (states/eV per atom): 0.15
Crystal system: tetragonal

Cell: 3.745 3.745 9.681 Å, 90.00 90.00 90.00°
Fractional coordinates of all 8 atoms:
Zr 0.250 0.250 0.228
Zr 0.750 0.750 0.772
Cu 0.250 0.750 0.500
Cu 0.750 0.250 0.500
Ge 0.250 0.750 0.000
Ge 0.750 0.250 0.000
As 0.250 0.250 0.676
As 0.750 0.750 0.324

***

The following is a DFT calculation (GGA-PBE) of a geometry-optimized LiPuZnSn structure.

Results
SG: F-43m, No. 216
Density (kg/m³): 8117
VASP energy (eV/atom): -5.593
Total moment (μB/cell): 5.371
DOS(E_F) (states/eV per atom): 2.38
Crystal system: cubic

Cell: 5.011 5.011 5.011 Å, 60.00 60.00 60.00°
Fractional coordinates of all 4 atoms:
Li 0.000 0.000 0.000
Pu 0.500 0.500 0.500
Zn 0.250 0.250 0.250
Sn 0.750 0.750 0.750

***

The following is a DFT calculation (GGA-PBE) of a geometry-optimized AlFe3H structure.

Results
SG: Cm, No. 8
Density (kg/m³): 6706
Total moment (μB/cell): 0.780
DOS(E_F) (states/eV per atom): 0.85
Crystal system: monoclinic
Energy above the lowest structure with this stoichiometry (meV/atom): 136

Cell: 4.849 4.849 5.262 Å, 104.63 104.63 116.72°
Fractional coordinates of all 10 atoms:
Al 0.000 0.000 0.000
Al 0.519 0.519 0.485
Fe 0.019 0.019 0.498
Fe 0.093 0.601 0.165
Fe 0.108 0.606 0.649
Fe 0.515 0.515 0.003
Fe 0.601 0.093 0.165
Fe 0.606 0.108 0.649
H 0.064 0.345 0.823
H 0.345 0.064 0.823

***

The following is a DFT calculation (GGA-PBE) of a geometry-optimized Hf2Mg3NbN6 structure.

Results
SG: C2/m, No. 12
Density (kg/m³): 7554
Total moment (μB/cell): 0.000
DOS(E_F) (states/eV per atom): 0.19
Raw formation energy (eV/atom): -1.29
Crystal system: monoclinic

Cell: 7.053 7.053 6.318 Å, 102.80 102.80 25.84°
Fractional coordinates of all 12 atoms:
Hf 0.166 0.166 0.332
Hf 0.834 0.834 0.668
Mg 0.166 0.166 0.831
Mg 0.500 0.500 0.500
Mg 0.834 0.834 0.169
Nb 0.500 0.500 0.000
N 0.001 0.001 0.244
N 0.331 0.331 0.424
N 0.338 0.338 0.915
N 0.662 0.662 0.085
N 0.669 0.669 0.576
N 0.999 0.999 0.756

***

The following is a DFT calculation (GGA-PBE) of a geometry-optimized Ba5Zr structure.

Results
SG: Cm, No. 8
Density (kg/m³): 4079
Total moment (μB/cell): 0.880
DOS(E_F) (states/eV per atom): 1.30
Crystal system: monoclinic
Energy above the lowest structure with this stoichiometry (meV/atom): 8

Cell: 7.815 7.815 10.856 Å, 111.97 111.97 31.22°
Fractional coordinates of all 6 atoms:
Ba 0.000 0.000 0.000
Ba 0.031 0.031 0.422
Ba 0.304 0.304 0.152
Ba 0.336 0.336 0.575
Ba 0.668 0.668 0.787
Zr 0.668 0.668 0.288

***

The following is a DFT calculation (GGA-PBE) of a geometry-optimized Cd2Cu2Au7 structure.

Results
SG: C2/m, No. 12
Density (kg/m³): 14296
VASP energy (eV/atom): -3.023
Total moment (μB/cell): 0.000
DOS(E_F) (states/eV per atom): 0.23
Crystal system: monoclinic

Cell: 5.999 5.999 5.985 Å, 101.88 101.88 99.89°
Fractional coordinates of all 11 atoms:
Cd 0.196 0.196 0.006
Cd 0.804 0.804 0.994
Cu 0.280 0.720 0.000
Cu 0.720 0.280 0.000
Au 0.000 0.000 0.500
Au 0.088 0.563 0.312
Au 0.402 0.402 0.670
Au 0.437 0.912 0.688
Au 0.563 0.088 0.312
Au 0.598 0.598 0.330
Au 0.912 0.437 0.688

***

The following is a DFT calculation (GGA-PBE) of a geometry-optimized Tb2CeIr9 structure.

Results
SG: R-3m, No. 166
Density (kg/m³): 16818
VASP energy (eV/atom): -8.515
Total moment (μB/cell): 0.000
DOS(E_F) (states/eV per atom): 1.17
Crystal system: trigonal

Cell: 9.318 9.318 9.318 Å, 33.20 33.20 33.20°
Fractional coordinates of all 12 atoms:
Tb 0.140 0.140 0.140
Tb 0.860 0.860 0.860
Ce 0.000 0.000 0.000
Ir 0.083 0.582 0.582
Ir 0.333 0.333 0.333
Ir 0.418 0.418 0.917
Ir 0.418 0.917 0.418
Ir 0.500 0.500 0.500
Ir 0.582 0.083 0.582
Ir 0.582 0.582 0.083
Ir 0.667 0.667 0.667
Ir 0.917 0.418 0.418

***

The following is a DFT calculation (GGA-PBE) of a geometry-optimized Be2CoBr structure.

Results
SG: P2/m, No. 10
Density (kg/m³): 5304
Total moment (μB/cell): 0.000
DOS(E_F) (states/eV per atom): 0.45
Raw formation energy (eV/atom): 0.69
Crystal system: monoclinic
Energy above the lowest structure with this stoichiometry (meV/atom): 562

Cell: 4.236 2.965 4.251 Å, 90.00 113.08 90.00°
Fractional coordinates of all 4 atoms:
Be 0.000 0.000 0.000
Be 0.000 0.500 0.500
Co 0.500 0.000 0.500
Br 0.500 0.500 0.000

***

The following is a DFT calculation (GGA-PBE) of a geometry-optimized K3As3Pt2 structure.

Results
SG: Cmcm, No. 63
Density (kg/m³): 5660
VASP energy (eV/atom): -4.119
Total moment (μB/cell): 0.000
DOS(E_F) (states/eV per atom): 0.32
Crystal system: orthorhombic

Cell: 6.431 6.431 15.820 Å, 90.00 90.00 138.95°
Fractional coordinates of all 16 atoms:
K 0.033 0.967 0.609
K 0.033 0.967 0.891
K 0.357 0.643 0.750
K 0.643 0.357 0.250
K 0.967 0.033 0.109
K 0.967 0.033 0.391
As 0.306 0.694 0.550
As 0.306 0.694 0.950
As 0.338 0.662 0.250
As 0.662 0.338 0.750
As 0.694 0.306 0.050
As 0.694 0.306 0.450
Pt 0.260 0.740 0.105
Pt 0.260 0.740 0.395
Pt 0.740 0.260 0.605
Pt 0.740 0.260 0.895

***

The following is a DFT calculation (GGA-PBE) of a geometry-optimized KAcInHg structure.

Results
SG: F-43m, No. 216
Density (kg/m³): 7085
VASP energy (eV/atom): -2.288
Total moment (μB/cell): 0.000
DOS(E_F) (states/eV per atom): 1.08
Crystal system: cubic

Cell: 5.776 5.776 5.776 Å, 60.00 60.00 60.00°
Fractional coordinates of all 4 atoms:
K 0.000 0.000 0.000
Ac 0.500 0.500 0.500
In 0.250 0.250 0.250
Hg 0.750 0.750 0.750